1.
## CaZrAs2 (PBE-GGA)

Data for crystalline CaZrAs2 at its relaxed geometry.

POSCAR file:
```
CaZrAs2
1.0
7.220 0.000 0.000
0.000 7.220 0.000
3.610 3.610 4.258
Zr As Ca
2 4 2
direct
0.000 0.000 0.000
0.750 0.250 0.500
0.092 0.625 0.250
0.658 0.125 0.250
0.875 0.908 0.750
0.375 0.342 0.750
0.500 0.500 0.000
0.250 0.750 0.500
```

Properties
- energy relative to the lowest polymorph listed for this composition (meV/atom) = 390
- crystal system = tetragonal
- space-group type = I-42d
- E_form (eV/atom) = -0.789

---

2.
## HfNbI2 (PBE-GGA)

Data for crystalline HfNbI2 at its relaxed geometry.

POSCAR file:
```
HfNbI2
1.0
-5.904 -4.455 2.572
4.514 -6.364 -0.660
0.387 -4.977 4.189
I Nb Hf
4 2 2
direct
0.138 0.625 0.250
0.875 0.862 0.750
0.375 0.388 0.750
0.612 0.125 0.250
0.250 0.750 0.500
0.500 0.500 0.000
0.000 0.000 0.000
0.750 0.250 0.500
```

Properties
- energy relative to the lowest polymorph listed for this composition (meV/atom) = 349
- crystal system = tetragonal
- formation energy (no corrections) (eV per atom) = 0.840
- space-group type = I-42d

---

3.
## Zr2ScRh (PBE-GGA)

Data for crystalline Zr2ScRh at its relaxed geometry.

POSCAR file:
```
Zr2ScRh
1.0
4.498 0.013 -1.248
-0.362 4.484 -1.248
-0.166 -0.180 8.137
Zr Rh Sc
4 2 2
direct
0.860 0.860 0.221
0.500 0.000 0.500
0.000 0.500 0.500
0.140 0.140 0.779
0.750 0.250 0.000
0.250 0.750 0.000
0.355 0.355 0.210
0.645 0.645 0.790
```

Properties
- crystal system = tetragonal
- space-group type = I4/mmm
- E_form (eV/atom) = -0.440

---

4.
## Sr3Si4Pd7 (PBE-GGA)

Data for crystalline Sr3Si4Pd7 at its relaxed geometry.

POSCAR file:
```
Sr3Si4Pd7
1.0
-1.063 -2.027 3.430
6.985 -0.113 4.576
-0.564 6.073 5.892
Pd Sr Si
7 3 4
direct
0.829 0.421 0.921
0.505 0.761 0.230
0.495 0.239 0.770
0.696 0.142 0.466
0.171 0.579 0.079
0.304 0.858 0.534
0.000 0.000 0.000
0.328 0.176 0.168
0.000 0.500 0.500
0.672 0.824 0.832
0.664 0.456 0.216
0.336 0.544 0.784
0.888 0.892 0.332
0.112 0.108 0.668
```

Properties
- crystal system = monoclinic
- formation energy (no corrections) (eV per atom) = -0.669
- space-group type = C2/m

---

5.
## K2ZnHgAu (PBE-GGA)

Data for crystalline K2ZnHgAu at its relaxed geometry.

POSCAR file:
```
K2ZnHgAu
1.0
6.278 0.000 0.000
0.000 6.278 0.000
0.000 0.000 5.038
Au Zn Hg K
1 1 1 2
direct
0.000 0.000 0.000
0.000 0.000 0.500
0.500 0.500 0.500
0.500 0.000 0.000
0.000 0.500 0.000
```

Properties
- energy relative to the lowest polymorph listed for this composition (meV/atom) = 0
- crystal system = tetragonal
- space-group type = P4/mmm
- E_form (eV/atom) = -0.112

---

6.
## NiOsRh (PBE-GGA)

Data for crystalline NiOsRh at its relaxed geometry.

POSCAR file:
```
NiOsRh
1.0
-5.679 0.934 -0.653
-5.088 -2.768 0.050
5.223 1.247 2.173
Rh Os Ni
1 1 1
direct
0.667 0.667 0.000
0.338 0.338 0.000
0.995 0.995 0.000
```

Properties
- energy relative to the lowest polymorph listed for this composition (meV/atom) = 33
- crystal system = tetragonal
- space-group type = I4mm
- E_form (eV/atom) = 0.090

---

7.
## Ca2Cu3Ge4 (PBE-GGA)

Data for crystalline Ca2Cu3Ge4 at its relaxed geometry.

POSCAR file:
```
Ca2Cu3Ge4
1.0
-0.683 5.251 2.224
-4.299 -2.865 5.447
6.438 -3.644 3.164
Ca Cu Ge
4 6 8
direct
0.391 0.096 0.783
0.609 0.904 0.217
0.109 0.596 0.217
0.891 0.404 0.783
0.025 0.750 0.549
0.500 0.500 0.000
0.525 0.750 0.549
0.475 0.250 0.451
0.975 0.250 0.451
0.000 0.000 0.000
0.810 0.250 0.121
0.819 0.016 0.638
0.319 0.484 0.638
0.310 0.250 0.121
0.190 0.750 0.879
0.681 0.516 0.362
0.690 0.750 0.879
0.181 0.984 0.362
```

Properties
- crystal system = orthorhombic
- space-group type = Cmce
- E_form (eV/atom) = -0.287

---

8.
## Li3YU3Se8 (PBE-GGA)

Data for crystalline Li3YU3Se8 at its relaxed geometry.

POSCAR file:
```
Li3YU3Se8
1.0
-1.844 -7.690 -1.930
7.680 2.018 1.787
-5.629 -0.094 5.752
Li Se U Y
3 8 3 1
direct
0.000 0.500 0.000
0.500 0.500 0.000
0.000 0.000 0.000
0.751 0.001 0.752
0.249 0.999 0.248
0.251 0.001 0.752
0.247 0.494 0.241
0.251 0.501 0.752
0.749 0.999 0.248
0.749 0.499 0.248
0.753 0.506 0.759
0.500 0.000 0.500
0.000 0.500 0.500
0.500 0.500 0.500
0.000 0.000 0.500
```

Properties
- crystal system = trigonal
- formation energy (no corrections) (eV per atom) = -1.305
- space-group type = R-3m

---

9.
## NaPaSnSb (PBE-GGA)

Data for crystalline NaPaSnSb at its relaxed geometry.

POSCAR file:
```
NaPaSnSb
1.0
5.293 0.000 0.000
2.646 4.584 0.000
2.646 1.528 4.321
Sb Sn Na Pa
1 1 1 1
direct
0.000 0.000 0.000
0.500 0.500 0.500
0.250 0.250 0.250
0.750 0.750 0.750
```

Properties
- crystal system = cubic
- formation energy (no corrections) (eV per atom) = -0.136
- space-group type = F-43m

---

10.
## K2Ta2Sn (PBE-GGA)

Data for crystalline K2Ta2Sn at its relaxed geometry.

POSCAR file:
```
K2Ta2Sn
1.0
-3.193 -0.386 1.755
-1.593 -1.046 -3.129
0.444 -12.638 1.855
Sn Ta K
1 2 2
direct
0.000 0.000 0.000
0.750 0.250 0.500
0.250 0.750 0.500
0.611 0.611 0.779
0.389 0.389 0.221
```

Properties
- energy relative to the lowest polymorph listed for this composition (meV/atom) = 0
- crystal system = tetragonal
- space-group type = I4/mmm
- E_form (eV/atom) = 0.794

---

11.
## RbPu2PtS4 (PBE-GGA)

Data for crystalline RbPu2PtS4 at its relaxed geometry.

POSCAR file:
```
RbPu2PtS4
1.0
-0.019 -3.704 -1.572
5.502 3.465 -3.082
8.393 -4.335 10.112
Pu Rb S Pt
4 2 8 2
direct
0.633 0.266 0.437
0.367 0.734 0.937
0.367 0.734 0.563
0.633 0.266 0.063
0.109 0.218 0.750
0.891 0.782 0.250
0.739 0.479 0.897
0.572 0.143 0.250
0.000 0.000 0.500
0.739 0.479 0.603
0.261 0.521 0.103
0.000 0.000 0.000
0.261 0.521 0.397
0.428 0.857 0.750
0.163 0.326 0.250
0.837 0.674 0.750
```

Properties
- crystal system = orthorhombic
- formation energy (no corrections) (eV per atom) = -1.346
- space-group type = Cmcm

---

12.
## NaPd2Rh (PBE-GGA)

Data for crystalline NaPd2Rh at its relaxed geometry.

POSCAR file:
```
NaPd2Rh
1.0
0.000 3.182 3.182
3.182 0.000 3.182
3.182 3.182 0.000
Pd Na Rh
2 1 1
direct
0.750 0.750 0.750
0.250 0.250 0.250
0.000 0.000 0.000
0.500 0.500 0.500
```

Properties
- energy relative to the lowest polymorph listed for this composition (meV/atom) = 139
- crystal system = cubic
- space-group type = Fm-3m
- E_form (eV/atom) = 0.223

---

no.,DOS(E_F) (states/eV per cell),mass density (g/cm3),electronic total energy (eV per atom)
1,0.000,4.21,-5.75
2,9.035,8.28,-4.94
3,10.327,6.77,-8.13
4,7.076,7.04,-5.18
5,2.992,4.53,-1.52
6,3.665,14.68,-8.03
7,7.120,5.75,-4.15
8,14.539,6.45,-6.23
9,5.810,7.83,-4.87
10,4.626,5.52,-5.19
11,33.224,7.74,-7.87
12,5.087,8.73,-4.54